# 1
# AlTe2P SCAN single point on PBEsol structure
data_AlTe2P
_chemical_formula_sum 'Al1 Te2 P1'
_cell_length_a 5.654
_cell_length_b 5.654
_cell_length_c 2.982
_cell_angle_alpha 90.00
_cell_angle_beta 90.00
_cell_angle_gamma 90.00
_space_group_name_H-M_alt 'P 4/m m m'
_space_group_IT_number 123
_space_group_name_Hall '-P 4 2'
loop_
_atom_site_label
_atom_site_type_symbol
_atom_site_fract_x
_atom_site_fract_y
_atom_site_fract_z
Al1 Al 0.000 0.000 0.000
Te1 Te 0.000 0.500 0.000
P1 P 0.500 0.500 0.000
# total DFT energy (no corrections)	-91.8	eV per cell
# density	5.46	g/cm3
# formation energy (no corrections)	0.220	eV/atom



# 2
# AlTeP3 SCAN single point on PBEsol structure
data_AlTeP3
_chemical_formula_sum 'Al1 Te1 P3'
_cell_length_a 4.988
_cell_length_b 4.988
_cell_length_c 4.988
_cell_angle_alpha 90.00
_cell_angle_beta 90.00
_cell_angle_gamma 90.00
_space_group_name_H-M_alt 'P m -3 m'
_space_group_IT_number 221
_space_group_name_Hall '-P 4 2 3'
loop_
_atom_site_label
_atom_site_type_symbol
_atom_site_fract_x
_atom_site_fract_y
_atom_site_fract_z
Al1 Al 0.000 0.000 0.000
Te1 Te 0.500 0.500 0.500
P1 P 0.000 0.500 0.500
# total DFT energy (no corrections)	-69.3	eV per cell
# density	3.31	g/cm3
# formation energy (no corrections)	1.385	eV/atom



# 3
# AlTeP2 SCAN single point on PBEsol structure
data_AlTeP2
_chemical_formula_sum 'Al2 Te2 P4'
_cell_length_a 5.346
_cell_length_b 5.346
_cell_length_c 5.407
_cell_angle_alpha 90.00
_cell_angle_beta 90.00
_cell_angle_gamma 90.00
_space_group_name_H-M_alt 'I 4/m m m'
_space_group_IT_number 139
_space_group_name_Hall '-I 4 2'
loop_
_atom_site_label
_atom_site_type_symbol
_atom_site_fract_x
_atom_site_fract_y
_atom_site_fract_z
Al1 Al 0.000 0.000 0.000
Te1 Te 0.000 0.000 0.500
P1 P 0.000 0.500 0.000
# total DFT energy (no corrections)	-130.8	eV per cell
# density	4.65	g/cm3
# formation energy (no corrections)	0.097	eV/atom



# 4
# AlZn2TeP SCAN single point on PBEsol structure
data_AlZn2TeP
_chemical_formula_sum 'Al1 Zn2 Te1 P1'
_cell_length_a 5.029
_cell_length_b 5.029
_cell_length_c 5.220
_cell_angle_alpha 90.00
_cell_angle_beta 90.00
_cell_angle_gamma 90.00
_space_group_name_H-M_alt 'P 4/m m m'
_space_group_IT_number 123
_space_group_name_Hall '-P 4 2'
loop_
_atom_site_label
_atom_site_type_symbol
_atom_site_fract_x
_atom_site_fract_y
_atom_site_fract_z
Al1 Al 0.000 0.000 0.000
Zn1 Zn 0.000 0.500 0.500
Te1 Te 0.500 0.500 0.500
P1 P 0.500 0.500 0.000
# total DFT energy (no corrections)	-77.7	eV per cell
# density	3.98	g/cm3
# formation energy (no corrections)	0.950	eV/atom



# 5
# Al2TlP2 SCAN single point on PBEsol structure
data_Al2TlP2
_chemical_formula_sum 'Al4 Tl2 P4'
_cell_length_a 3.971
_cell_length_b 3.971
_cell_length_c 13.160
_cell_angle_alpha 90.00
_cell_angle_beta 90.00
_cell_angle_gamma 90.00
_space_group_name_H-M_alt 'I 4/m m m'
_space_group_IT_number 139
_space_group_name_Hall '-I 4 2'
loop_
_atom_site_label
_atom_site_type_symbol
_atom_site_fract_x
_atom_site_fract_y
_atom_site_fract_z
Al1 Al 0.000 0.500 0.250
Tl1 Tl 0.000 0.000 0.000
P1 P 0.000 0.000 0.358
# total DFT energy (no corrections)	-219.5	eV per cell
# formation energy	-220	meV per atom
# density	5.13	g/cm3



# 6
# Al2TlP SCAN single point on PBEsol structure
data_Al2TlP
_chemical_formula_sum 'Al8 Tl4 P4'
_cell_length_a 6.728
_cell_length_b 6.728
_cell_length_c 6.728
_cell_angle_alpha 90.00
_cell_angle_beta 90.00
_cell_angle_gamma 90.00
_space_group_name_H-M_alt 'F m -3 m'
_space_group_IT_number 225
_space_group_name_Hall '-F 4 2 3'
loop_
_atom_site_label
_atom_site_type_symbol
_atom_site_fract_x
_atom_site_fract_y
_atom_site_fract_z
Al1 Al 0.250 0.250 0.250
Tl1 Tl 0.000 0.000 0.000
P1 P 0.000 0.000 0.500
# total DFT energy (no corrections)	-386.5	eV per cell
# formation energy	411	meV per atom
# density	6.31	g/cm3



Question: The highest density belongs to which entry?
Answer: Al2TlP



Copy entry 1 word for word.
# AlTe2P SCAN single point on PBEsol structure
data_AlTe2P
_chemical_formula_sum 'Al1 Te2 P1'
_cell_length_a 5.654
_cell_length_b 5.654
_cell_length_c 2.982
_cell_angle_alpha 90.00
_cell_angle_beta 90.00
_cell_angle_gamma 90.00
_space_group_name_H-M_alt 'P 4/m m m'
_space_group_IT_number 123
_space_group_name_Hall '-P 4 2'
loop_
_atom_site_label
_atom_site_type_symbol
_atom_site_fract_x
_atom_site_fract_y
_atom_site_fract_z
Al1 Al 0.000 0.000 0.000
Te1 Te 0.000 0.500 0.000
P1 P 0.500 0.500 0.000
# total DFT energy (no corrections)	-91.8	eV per cell
# density	5.46	g/cm3
# formation energy (no corrections)	0.220	eV/atom



Question: The highest density belongs to which entry?
Answer: Al2TlP